Computed, not measured: crystalline MgMoNF2 at its relaxed geometry at the PBE with a Hubbard U level of DFT.

a b c (Å): 4.195 4.195 4.187
angles (deg): 90.00 90.00 90.00
Space group P4/mmm (No. 123)
One atom of each set of equivalent atoms:
Mg 0.000 0.000 0.000 x1
Mo 0.500 0.500 0.500 x1
N 0.500 0.500 0.000 x1
F 0.000 0.500 0.500 x2

## Properties
The value obtained for the energy above the most stable polymorph in this dataset is 178 meV per atom.